1.
Entry from Alexandria via LeMat-Bulk: an optimized crystal structure of TeI2Cl2 (PBE).

Summary:
E above lowest polymorph = 0.157 eV/atom
E_form (uncorrected) = 0.4406 eV/atom
total moment = 0.0 μB per formula unit
calculated density = 5.08 g/cm³

a = 4.434 Å, b = 4.434 Å, c = 8.146 Å
α = 74.21°, β = 74.21°, γ = 90.00°
Fractional positions:
I  0.404  0.404  0.193
I  0.596  0.596  0.807
Te  0.000  0.000  0.000
Cl  0.750  0.250  0.500
Cl  0.250  0.750  0.500

2.
Entry from Alexandria via LeMat-Bulk: an optimized crystal structure of TeI2Cl2 (PBE).

Summary:
E above lowest polymorph = 0.000 eV/atom
E_form (uncorrected) = 0.2840 eV/atom
total moment = 0.0 μB per formula unit
calculated density = 4.77 g/cm³

a = 8.052 Å, b = 8.052 Å, c = 4.855 Å
α = 90.00°, β = 90.00°, γ = 90.00°
Fractional positions:
I  0.333  0.833  0.000
I  0.833  0.667  0.000
I  0.667  0.167  0.000
I  0.167  0.333  0.000
Te  0.000  0.000  0.000
Te  0.500  0.500  0.000
Cl  0.146  0.646  0.500
Cl  0.646  0.854  0.500
Cl  0.854  0.354  0.500
Cl  0.354  0.146  0.500